Record 1
Density functional theory data (SCAN) for a crystal of As3Pb2ClO6 relaxed with PBEsol.

abc: 19.241 5.381 8.184
angles: 90.00 90.00 90.00
Space group Pnma (No. 62)
Unique sites:
1 As 0.043 0.250 0.184 [4 per cell]
2 As 0.170 0.750 0.761 [4 per cell]
3 As 0.181 0.250 0.963 [4 per cell]
4 Pb 0.060 0.250 0.610 [4 per cell]
5 Pb 0.143 0.750 0.339 [4 per cell]
6 Cl 0.218 0.250 0.556 [4 per cell]
7 O 0.046 0.007 0.332 [8 per cell]
8 O 0.106 0.750 0.607 [4 per cell]
9 O 0.127 0.003 0.878 [8 per cell]
10 O 0.140 0.250 0.161 [4 per cell]

Output
E_form (uncorrected): -1.336 eV per atom

***

Record 2
Density functional theory data (SCAN) for a crystal of TbMg2Cu9 relaxed with PBEsol.

abc: 4.9207 4.9207 15.9073
angles: 90.00 90.00 120.00
Space group P6_3/mmc (No. 194)
Unique sites:
1 Tb 0.3333 0.6667 0.2500 [2 per cell]
2 Mg 0.3333 0.6667 0.0328 [4 per cell]
3 Cu 0.0000 0.0000 0.0000 [2 per cell]
4 Cu 0.0000 0.0000 0.2500 [2 per cell]
5 Cu 0.1679 0.3358 0.6234 [12 per cell]
6 Cu 0.3333 0.6667 0.7500 [2 per cell]

Output
Formation energy: -0.2065 eV per atom

***

Record 3
Density functional theory data (SCAN) for a crystal of Si2AsIr relaxed with PBEsol.

abc: 7.623 3.017 6.062
angles: 90.00 112.24 90.00
Space group Cm (No. 8)
Unique sites:
1 Si 0.000 0.000 0.000 [2 per cell]
2 Si 0.225 0.000 0.817 [2 per cell]
3 As 0.162 0.500 0.374 [2 per cell]
4 Ir 0.455 0.000 0.618 [2 per cell]

Output
E_form (uncorrected): 0.021 eV per atom

***

Record 4
Density functional theory data (SCAN) for a crystal of SrLi3P relaxed with PBEsol.

abc: 4.812 4.812 4.812
angles: 90.00 90.00 90.00
Space group Pm-3m (No. 221)
Unique sites:
1 Sr 0.000 0.000 0.000 [1 per cell]
2 Li 0.000 0.500 0.500 [3 per cell]
3 P 0.500 0.500 0.500 [1 per cell]

Output
Energy above the lowest structure with this stoichiometry: 0.0 meV per atom
Formation energy: -0.3583 eV per atom

***

Record 5
Density functional theory data (SCAN) for a crystal of YAgHg2 relaxed with PBEsol.

abc: 6.943 6.943 6.943
angles: 90.00 90.00 90.00
Space group Fm-3m (No. 225)
Unique sites:
1 Y 0.000 0.000 0.000 [4 per cell]
2 Ag 0.000 0.000 0.500 [4 per cell]
3 Hg 0.250 0.250 0.250 [8 per cell]

Output
Formation energy: -0.4786 eV per atom

***

Record 6
Density functional theory data (SCAN) for a crystal of Mn2CuO4 relaxed with PBEsol.

abc: 8.127 8.127 8.127
angles: 90.00 90.00 90.00
Space group Fd-3m (No. 227, origin choice 2)
Unique sites:
1 Mn 0.000 0.000 0.000 [16 per cell]
2 Cu 0.125 0.125 0.625 [8 per cell]
3 O 0.013 0.013 0.237 [32 per cell]

Output
Energy above the lowest structure with this stoichiometry: 0.0 meV per atom
E_form (uncorrected): -1.793 eV per atom

***

Number 1: magnetic moment 0.00 Bohr magnetons per cell. Number 2: magnetic moment 0.00 Bohr magnetons per cell. Number 3: magnetic moment 0.00 Bohr magnetons per cell. Number 4: magnetic moment 0.00 Bohr magnetons per cell. Number 5: magnetic moment 0.00 Bohr magnetons per cell. Number 6: magnetic moment 40.00 Bohr magnetons per cell.